Entry 1:
! PBE-GGA MgGa3Bi, relaxed; values from VASP
! Density: 5.485 g cm⁻³
! M_tot: 0.0 Bohr magnetons per cell
! ΔE_f: 0.388 eV/atom
! Space group: Pm-3m, No. 221
&SYSTEM
  ibrav = 0, nat = 5, ntyp = 3
/
ATOMIC_SPECIES
Bi 208.98 Bi.upf
Ga 69.72 Ga.upf
Mg 24.30 Mg.upf
CELL_PARAMETERS angstrom
5.117 0.000 0.000
0.000 5.117 0.000
0.000 0.000 5.117
ATOMIC_POSITIONS angstrom
Bi 2.558 2.558 2.558
Ga 0.000 0.000 2.558
Ga 0.000 2.558 0.000
Ga 2.558 0.000 0.000
Mg 0.000 0.000 0.000

=====

Entry 2:
! PBE-GGA Mg3GaBi3, relaxed; values from VASP
! Density: 6.509 g cm⁻³
! M_tot: 0.0 Bohr magnetons per cell
! ΔE_f: -0.084 eV/atom
! Space group: Cmce, No. 64
&SYSTEM
  ibrav = 0, nat = 28, ntyp = 3
/
ATOMIC_SPECIES
Bi 208.98 Bi.upf
Mg 24.30 Mg.upf
Ga 69.72 Ga.upf
CELL_PARAMETERS angstrom
-6.954 1.252 1.278
3.513 -6.784 5.594
3.110 8.609 8.487
ATOMIC_POSITIONS angstrom
Bi 2.286 -3.139 5.118
Bi -4.931 2.243 2.245
Bi -4.063 1.893 5.978
Bi 0.244 3.885 7.921
Bi 0.872 3.517 11.702
Bi -3.025 6.484 6.424
Bi 3.733 1.185 9.381
Bi -2.617 6.217 10.241
Bi -1.203 -0.439 3.657
Bi -0.819 3.377 3.341
Bi -0.574 -0.807 7.438
Bi 1.088 7.618 7.520
Mg -0.759 -3.055 5.124
Mg -0.523 1.487 9.610
Mg 3.917 3.527 11.600
Mg -1.689 8.554 8.460
Mg -3.272 0.237 8.392
Mg -4.700 4.512 4.484
Mg -4.247 -0.450 3.759
Mg 0.193 1.591 5.749
Mg -2.154 1.308 1.304
Mg 0.429 6.133 10.235
Mg 0.857 5.350 5.280
Mg 2.942 2.840 6.967
Ga -1.915 3.791 6.036
Ga -3.447 -4.392 5.719
Ga 0.007 -1.139 1.153
Ga 1.585 -0.714 9.323

=====

Entry 3:
! PBE-GGA Mg3GaBi3, relaxed; values from VASP
! Density: 4.724 g cm⁻³
! M_tot: 0.0 Bohr magnetons per cell
! ΔE_f: 0.267 eV/atom
! Space group: Pm-3n, No. 223
&SYSTEM
  ibrav = 0, nat = 14, ntyp = 3
/
ATOMIC_SPECIES
Mg 24.30 Mg.upf
Bi 208.98 Bi.upf
Ga 69.72 Ga.upf
CELL_PARAMETERS angstrom
-4.397 6.731 -1.324
-6.325 -3.368 3.879
2.657 3.121 7.043
ATOMIC_POSITIONS angstrom
Mg -0.206 5.706 4.620
Mg -0.253 0.718 4.491
Mg -1.534 4.146 1.099
Mg -3.415 -0.966 6.430
Mg -4.262 -0.001 1.608
Mg -6.460 3.364 0.946
Bi -2.498 -0.904 3.700
Bi -6.942 0.839 2.247
Bi 0.229 3.243 3.190
Bi -1.969 6.609 2.528
Bi -1.170 0.656 7.221
Bi -3.780 2.523 0.308
Ga -4.033 3.242 4.799
Ga 0.000 0.000 0.000

=====

Entry 4:
! PBE-GGA Mg3GaBi, relaxed; values from VASP
! Density: 4.785 g cm⁻³
! M_tot: 0.0 Bohr magnetons per cell
! ΔE_f: -0.111 eV/atom
! Space group: P2_1/c, No. 14
&SYSTEM
  ibrav = 0, nat = 20, ntyp = 3
/
ATOMIC_SPECIES
Mg 24.30 Mg.upf
Bi 208.98 Bi.upf
Ga 69.72 Ga.upf
CELL_PARAMETERS angstrom
-4.896 2.158 -2.474
-4.288 -7.383 2.047
-1.939 4.766 7.993
ATOMIC_POSITIONS angstrom
Mg -6.983 -2.315 3.424
Mg -7.981 -2.221 6.439
Mg -3.142 1.763 1.127
Mg -4.581 -3.680 1.189
Mg -9.185 -3.647 1.344
Mg -4.744 -1.652 5.593
Mg -9.457 0.732 6.660
Mg -6.542 3.221 6.376
Mg -1.666 -1.191 0.905
Mg -6.379 1.193 1.972
Mg -1.938 3.188 6.222
Mg -4.140 1.856 4.141
Bi -4.314 1.269 7.013
Bi -7.164 0.385 4.859
Bi -6.809 -1.727 0.553
Bi -3.959 -0.844 2.706
Ga -3.749 1.147 -1.616
Ga -7.374 -1.606 9.181
Ga -6.056 -4.142 5.361
Ga -5.067 3.684 2.205